# 1
VASP calculation (meta-GGA SCAN) on ZrTlRh2 at its PBEsol-relaxed geometry.

Cell: 3.8624 3.8603 5.2690 Å, 111.50 111.50 90.00°
Last column: nearest neighbours and their distance in Å.
Element x y z (fractional)
Zr: 0.7501 0.2502 0.5002  8 Rh 2.73-2.97, 4 Tl 2.97
Rh: 0.2499 0.7501 0.5000  4 Zr 2.73, 4 Tl 2.97, 4 Rh 2.97
Rh: 0.9999 0.9997 0.9998  4 Tl 2.73, 4 Zr 2.96-2.97, 4 Rh 2.97
Tl: 0.5001 0.5000 0.0001  8 Rh 2.73-2.97, 4 Zr 2.97

Calculated values
**SG**: I-4m2 (119)
**Formation energy**: -0.515 eV/atom

---

# 2
VASP calculation (meta-GGA SCAN) on ZnAs2 at its PBEsol-relaxed geometry.

Cell: 7.6603 7.9951 9.2370 Å, 102.52 90.00 90.00°
Last column: nearest neighbours and their distance in Å.
Element x y z (fractional)
As: 0.5766 0.2198 0.3863  2 Zn 2.44-2.47, 2 As 2.46
As: 0.7559 0.8922 0.0658  2 Zn 2.40, 2 As 2.42-2.43
As: 0.9929 0.9379 0.2439  2 As 2.42-2.46, 2 Zn 2.45-2.49
As: 0.9883 0.4318 0.2380  2 As 2.43-2.46, 2 Zn 2.45-2.49
As: 0.2559 0.6078 0.9342  2 Zn 2.40, 2 As 2.42-2.43
As: 0.0071 0.0621 0.7561  2 As 2.42-2.46, 2 Zn 2.45-2.49
As: 0.5117 0.9318 0.2380  2 As 2.43-2.46, 2 Zn 2.45-2.49
As: 0.4883 0.0682 0.7620  2 As 2.43-2.46, 2 Zn 2.45-2.49
As: 0.7441 0.3922 0.0658  2 Zn 2.40, 2 As 2.42-2.43
As: 0.4234 0.7802 0.6137  2 Zn 2.44-2.47, 2 As 2.46
As: 0.9234 0.7198 0.3863  2 Zn 2.44-2.47, 2 As 2.46
As: 0.2441 0.1078 0.9342  2 Zn 2.40, 2 As 2.42-2.43
As: 0.5071 0.4379 0.2439  2 As 2.42-2.46, 2 Zn 2.45-2.49
As: 0.0766 0.2802 0.6137  2 Zn 2.44-2.47, 2 As 2.46
As: 0.0117 0.5682 0.7620  2 As 2.43-2.46, 2 Zn 2.45-2.49
As: 0.4929 0.5621 0.7561  2 As 2.42-2.46, 2 Zn 2.45-2.49
Zn: 0.8995 0.2235 0.3888  4 As 2.44-2.49
Zn: 0.3995 0.2765 0.6112  4 As 2.44-2.49
Zn: 0.7507 0.1054 0.9181  4 As 2.40-2.45
Zn: 0.1005 0.7765 0.6112  4 As 2.44-2.49
Zn: 0.2507 0.3946 0.0819  4 As 2.40-2.45
Zn: 0.2493 0.8946 0.0819  4 As 2.40-2.45
Zn: 0.7493 0.6054 0.9181  4 As 2.40-2.45
Zn: 0.6005 0.7235 0.3888  4 As 2.44-2.49

Calculated values
**SG**: P2_1/c (14)
**Formation energy**: -0.200 eV/atom

---

# 3
VASP calculation (meta-GGA SCAN) on Li2MgGeO4 at its PBEsol-relaxed geometry.

Cell: 4.9931 5.4962 6.3020 Å, 90.00 90.00 90.00°
Last column: nearest neighbours and their distance in Å.
Element x y z (fractional)
O: 0.1057 0.1749 0.2311  1 Ge 1.77, 2 Li 1.95-1.97, 1 Mg 1.98
O: 0.6057 0.8251 0.7311  1 Ge 1.77, 2 Li 1.95-1.97, 1 Mg 1.98
O: 0.6057 0.8251 0.2689  1 Ge 1.77, 2 Li 1.95-1.97, 1 Mg 1.98
O: 0.1042 0.6331 0.0000  1 Ge 1.78, 2 Li 1.99, 1 Mg 1.99
O: 0.6042 0.3669 0.5000  1 Ge 1.78, 2 Li 1.99, 1 Mg 1.99
O: 0.1388 0.6702 0.5000  1 Ge 1.77, 2 Li 1.95, 1 Mg 1.98
O: 0.6388 0.3298 0.0000  1 Ge 1.77, 2 Li 1.95, 1 Mg 1.98
O: 0.1057 0.1749 0.7689  1 Ge 1.77, 2 Li 1.95-1.97, 1 Mg 1.98
Mg: 0.0011 0.3331 0.5000  4 O 1.98-1.99
Mg: 0.5011 0.6669 0.0000  4 O 1.98-1.99
Li: 0.4993 0.1662 0.2508  4 O 1.95-1.99
Li: 0.4993 0.1662 0.7492  4 O 1.95-1.99
Li: 0.9993 0.8338 0.2492  4 O 1.95-1.99
Li: 0.9993 0.8338 0.7508  4 O 1.95-1.99
Ge: 0.4934 0.6743 0.5000  4 O 1.77-1.78
Ge: 0.9934 0.3257 0.0000  4 O 1.77-1.78

Calculated values
**SG**: Pmn2_1 (31)
**Formation energy (no corrections)**: -2376 meV/atom

---

# 4
VASP calculation (meta-GGA SCAN) on Sr6GaN5 at its PBEsol-relaxed geometry.

Cell: 6.6298 6.6298 12.8836 Å, 90.00 90.00 120.00°
Last column: nearest neighbours and their distance in Å.
Element x y z (fractional)
Sr: 0.0000 0.5928 0.8760  3 N 2.57-2.61
Sr: 0.4072 0.4072 0.8760  3 N 2.57-2.61
Sr: 0.5928 0.0000 0.8760  3 N 2.57-2.61
Sr: 0.5928 0.5928 0.3760  3 N 2.57-2.61
Sr: 0.0000 0.4072 0.3760  3 N 2.57-2.61
Sr: 0.4072 0.0000 0.1240  3 N 2.57-2.61
Sr: 0.5928 0.5928 0.1240  3 N 2.57-2.61
Sr: 0.5928 0.0000 0.6240  3 N 2.57-2.61
Sr: 0.0000 0.4072 0.1240  3 N 2.57-2.61
Sr: 0.4072 0.0000 0.3760  3 N 2.57-2.61
Sr: 0.4072 0.4072 0.6240  3 N 2.57-2.61
Sr: 0.0000 0.5928 0.6240  3 N 2.57-2.61
N: 0.2855 0.0000 0.7500  1 Ga 1.89
N: 0.7145 0.7145 0.7500  1 Ga 1.89
N: 0.3333 0.6667 0.0000  6 Sr 2.57
N: 0.3333 0.6667 0.5000  6 Sr 2.57
N: 0.0000 0.2855 0.7500  1 Ga 1.89
N: 0.7145 0.0000 0.2500  1 Ga 1.89
N: 0.6667 0.3333 0.5000  6 Sr 2.57
N: 0.0000 0.7145 0.2500  1 Ga 1.89
N: 0.2855 0.2855 0.2500  1 Ga 1.89
N: 0.6667 0.3333 0.0000  6 Sr 2.57
Ga: 0.0000 0.0000 0.7500  3 N 1.89
Ga: 0.0000 0.0000 0.2500  3 N 1.89

Calculated values
**SG**: P6_3/mcm (193)
**Formation energy (no corrections)**: -786 meV/atom

---

# 5
VASP calculation (meta-GGA SCAN) on Li2FeW2O8 at its PBEsol-relaxed geometry.

Cell: 4.9144 5.6158 5.8404 Å, 70.26 88.60 63.59°
Last column: nearest neighbours and their distance in Å.
Element x y z (fractional)
O: 0.3251 0.7241 0.8316  2 W 2.01-2.04, 1 Fe 2.15
O: 0.2237 0.2348 0.4233  1 W 1.83, 1 Li 1.98, 1 Fe 2.00
O: 0.1868 0.2757 0.9589  1 W 1.86, 1 Li 2.01
O: 0.7763 0.7652 0.5767  1 W 1.83, 1 Li 1.98, 1 Fe 2.00
O: 0.2533 0.7531 0.3120  1 W 1.79, 1 Li 1.99
O: 0.7467 0.2469 0.6880  1 W 1.79, 1 Li 1.99
O: 0.8132 0.7243 0.0411  1 W 1.86, 1 Li 2.01
O: 0.6749 0.2759 0.1684  2 W 2.01-2.04, 1 Fe 2.15
Li: 0.4635 0.0737 0.7547  4 O 1.98-2.13
Li: 0.5365 0.9263 0.2453  4 O 1.98-2.13
W: 0.2295 0.5288 0.1646  4 O 1.79-2.01
W: 0.7705 0.4712 0.8354  4 O 1.79-2.01
Fe: 0.0000 0.0000 0.5000  6 O 2.00-2.15

Calculated values
**SG**: P-1 (2)
**Formation energy (no corrections)**: -2223 meV/atom

---

# 6
VASP calculation (meta-GGA SCAN) on Zn5Cu4 at its PBEsol-relaxed geometry.

Cell: 5.0687 7.1860 7.1860 Å, 120.00 90.00 90.00°
Last column: nearest neighbours and their distance in Å.
Element x y z (fractional)
Cu: 0.2500 0.3602 0.3602  9 Zn 2.41-2.63
Cu: 0.0000 0.0000 0.0000  6 Zn 2.53, 2 Cu 2.53
Cu: 0.2500 0.6398 0.0000  9 Zn 2.41-2.63
Cu: 0.7500 0.3602 0.0000  9 Zn 2.41-2.63
Cu: 0.5000 0.0000 0.0000  6 Zn 2.53, 2 Cu 2.53
Cu: 0.7500 0.6398 0.6398  9 Zn 2.41-2.63
Cu: 0.7500 0.0000 0.3602  9 Zn 2.41-2.63
Cu: 0.2500 0.0000 0.6398  9 Zn 2.41-2.63
Zn: 0.0000 0.3333 0.6667  8 Zn 2.53-2.81, 6 Cu 2.63
Zn: 0.7500 0.3044 0.3044  7 Cu 2.41-2.57
Zn: 0.2500 0.0000 0.3044  7 Cu 2.41-2.57
Zn: 0.7500 0.0000 0.6956  7 Cu 2.41-2.57
Zn: 0.5000 0.3333 0.6667  8 Zn 2.53-2.81, 6 Cu 2.63
Zn: 0.2500 0.3044 0.0000  7 Cu 2.41-2.57
Zn: 0.5000 0.6667 0.3333  8 Zn 2.53-2.81, 6 Cu 2.63
Zn: 0.0000 0.6667 0.3333  8 Zn 2.53-2.81, 6 Cu 2.63
Zn: 0.2500 0.6956 0.6956  7 Cu 2.41-2.57
Zn: 0.7500 0.6956 0.0000  7 Cu 2.41-2.57

Calculated values
**SG**: P6_3/mcm (193)
**Relative energy among the computed polymorphs**: 7 meV/atom
**Formation energy**: -0.058 eV/atom